1.
CdCoPRh2 | PBE | relaxed

Geometry as POSCAR:
```
CdCoPRh2
1.0
4.9358 0.0000 0.0000
0.0000 4.9358 0.0000
0.0000 0.0000 4.5622
Cd Co P Rh
1 1 1 2
Direct
0.0000 0.0000 0.0000 Cd
0.5000 0.5000 0.5000 Co
0.0000 0.0000 0.5000 P
0.0000 0.5000 0.0000 Rh
0.5000 0.0000 0.0000 Rh
```

Calculated values
Crystal system = tetragonal
Energy of formation from the pure elements = 180 kJ per mole of atoms
Calculated volume = 111.14 Å³ per cell


2.
Cd2CoPRu | PBE | relaxed

Geometry as POSCAR:
```
Cd2CoPRu
1.0
5.1497 0.0000 0.0000
0.0000 5.1497 0.0000
0.0000 0.0000 4.3565
Cd Co P Ru
2 1 1 1
Direct
0.0000 0.5000 0.0000 Cd
0.5000 0.0000 0.0000 Cd
0.0000 0.0000 0.5000 Co
0.5000 0.5000 0.5000 P
0.0000 0.0000 0.0000 Ru
```

Calculated values
Crystal system = tetragonal
Energy of formation from the pure elements = 121 kJ per mole of atoms
Calculated volume = 115.53 Å³ per cell